# 1
LiTaMo2 | PBE | optimized geometry

a = 3.225 Å, b = 3.225 Å, c = 5.957 Å
α = 90.00°, β = 90.00°, γ = 90.00°
Space group P4mm (No. 99)
One atom of each set of equivalent atoms:
1 Li 0.000 0.000 0.000 (multiplicity 1)
2 Ta 0.500 0.500 0.747 (multiplicity 1)
3 Mo 0.000 0.000 0.481 (multiplicity 1)
4 Mo 0.500 0.500 0.235 (multiplicity 1)

Values from the calculation:
Energy above the most stable polymorph in this dataset   63 meV per atom
Size of the total moment   0.00 μB/f.u.
Calculated formation energy   273.9 meV per atom
Mass density   10.2 g/cm³
V   15.49 A^3/atom


# 2
LiTa3Mo | PBE | optimized geometry

a = 4.396 Å, b = 4.396 Å, c = 4.396 Å
α = 90.00°, β = 90.00°, γ = 90.00°
Space group Pm-3m (No. 221)
One atom of each set of equivalent atoms:
1 Li 0.000 0.000 0.000 (multiplicity 1)
2 Ta 0.000 0.000 0.500 (multiplicity 3)
3 Mo 0.500 0.500 0.500 (multiplicity 1)

Values from the calculation:
Energy above the most stable polymorph in this dataset   0 meV per atom
Size of the total moment   0.00 μB/f.u.
Calculated formation energy   1213.7 meV per atom
Mass density   12.6 g/cm³
V   16.99 A^3/atom


# 3
Li2TaMo | PBE | optimized geometry

a = 2.672 Å, b = 2.672 Å, c = 9.614 Å
α = 90.00°, β = 90.00°, γ = 90.00°
Space group P4mm (No. 99)
One atom of each set of equivalent atoms:
1 Li 0.000 0.000 0.000 (multiplicity 1)
2 Li 0.500 0.500 0.258 (multiplicity 1)
3 Ta 0.500 0.500 0.741 (multiplicity 1)
4 Mo 0.000 0.000 0.498 (multiplicity 1)

Values from the calculation:
Energy above the most stable polymorph in this dataset   118 meV per atom
Size of the total moment   0.00 μB/f.u.
Calculated formation energy   315.8 meV per atom
Mass density   7.0 g/cm³
V   17.16 A^3/atom


# 4
LiTa2Mo | PBE | optimized geometry

a = 2.710 Å, b = 2.710 Å, c = 9.529 Å
α = 90.00°, β = 90.00°, γ = 90.00°
Space group P4/mmm (No. 123)
One atom of each set of equivalent atoms:
1 Li 0.000 0.000 0.000 (multiplicity 1)
2 Ta 0.500 0.500 0.257 (multiplicity 2)
3 Mo 0.000 0.000 0.500 (multiplicity 1)

Values from the calculation:
Energy above the most stable polymorph in this dataset   186 meV per atom
Size of the total moment   0.00 μB/f.u.
Calculated formation energy   360.4 meV per atom
Mass density   11.0 g/cm³
V   17.50 A^3/atom


# 5
LiTa2Mo | PBE | optimized geometry

a = 5.756 Å, b = 9.106 Å, c = 2.695 Å
α = 90.00°, β = 108.87°, γ = 90.00°
Space group C2/m (No. 12)
One atom of each set of equivalent atoms:
1 Li 0.000 0.000 0.000 (multiplicity 2)
2 Ta 0.250 0.250 0.500 (multiplicity 4)
3 Mo 0.000 0.500 0.000 (multiplicity 2)

Values from the calculation:
Energy above the most stable polymorph in this dataset   100 meV per atom
Size of the total moment   0.00 μB/f.u.
Calculated formation energy   273.9 meV per atom
Mass density   11.6 g/cm³
V   16.70 A^3/atom


# 6
LiTaMo2 | PBE | optimized geometry

a = 9.258 Å, b = 2.608 Å, c = 5.351 Å
α = 90.00°, β = 92.39°, γ = 90.00°
Space group Cm (No. 8)
One atom of each set of equivalent atoms:
1 Li 0.000 0.000 0.000 (multiplicity 2)
2 Ta 0.248 0.500 0.245 (multiplicity 2)
3 Mo 0.254 0.000 0.750 (multiplicity 2)
4 Mo 0.498 0.000 0.511 (multiplicity 2)

Values from the calculation:
Energy above the most stable polymorph in this dataset   135 meV per atom
Size of the total moment   0.00 μB/f.u.
Calculated formation energy   345.7 meV per atom
Mass density   9.8 g/cm³
V   16.14 A^3/atom